## Si4Te5I2 (PBE-GGA)

Data for crystalline Si4Te5I2 at its relaxed geometry.

Results
As for the theoretical density: 4.1 g cm⁻³. Its density of states at the Fermi level is 0.39 states/eV/atom. The formation energy from raw total energies is 0.05 eV per atom. Its crystal system is monoclinic. The calculation puts the total energy at -3.63 eV/atom. The calculated volume is 809.6 Å³/cell.

Cell: 13.617 8.427 9.340 Å, 90.00 130.95 90.00°
Space group C2/m (No. 12)
One atom of each set of equivalent atoms:
Si  0.026  0.000  0.247 (multiplicity 4)
Si  0.168  0.000  0.088 (multiplicity 4)
Te  0.000  0.000  0.500 (multiplicity 2)
Te  0.161  0.228  0.263 (multiplicity 8)
I  0.127  0.500  0.858 (multiplicity 4)